A) # BaYHg

An optimized crystal structure of BaYHg (GGA-PBE, Alexandria).

Cell: 5.4344 5.4344 5.4344 Å, 60.00 60.00 60.00°
Last column: nearest neighbours and their distance in Å.
Sites, in units of the cell vectors:
Ba1 0.0000 0.0000 0.0000  4 Hg 3.33, 4 Y 3.33
Y1 0.2500 0.2500 0.2500  4 Ba 3.33
Hg1 0.7500 0.7500 0.7500  4 Ba 3.33

=====

B) # BaYHg

An optimized crystal structure of BaYHg (GGA-PBE, Alexandria).

Cell: 7.4918 7.4918 7.4918 Å, 149.41 149.41 43.81°
Last column: nearest neighbours and their distance in Å.
Sites, in units of the cell vectors:
Ba1 0.0000 0.0000 0.0000  4 Hg 3.74, 1 Y 3.81, 4 Ba 3.95
Y1 0.7260 0.7260 0.0000  4 Hg 3.10
Hg1 0.3217 0.3217 0.0000  4 Y 3.10

=====

Energies, relative to the best one, in meV/atom: A) 760; B) 0.

=====

A) # Ba2YHg2

An optimized crystal structure of Ba2YHg2 (GGA-PBE, Alexandria).

Cell: 9.6879 9.6879 3.8656 Å, 90.00 90.00 90.00°
Last column: nearest neighbours and their distance in Å.
Sites, in units of the cell vectors:
Ba1 0.1421 0.3579 0.0000  6 Hg 3.37-3.48, 2 Y 3.73
Ba2 0.3579 0.8579 0.0000  6 Hg 3.37-3.48, 2 Y 3.73
Ba3 0.6421 0.1421 0.0000  6 Hg 3.37-3.48, 2 Y 3.73
Ba4 0.8579 0.6421 0.0000  6 Hg 3.37-3.48, 2 Y 3.73
Y1 0.0000 0.0000 0.0000  4 Ba 3.73, 2 Y 3.87, 8 Hg 4.14
Y2 0.5000 0.5000 0.0000  4 Ba 3.73, 2 Y 3.87, 8 Hg 4.14
Hg1 0.1562 0.6562 0.5000  6 Ba 3.37-3.48
Hg2 0.3438 0.1562 0.5000  6 Ba 3.37-3.48
Hg3 0.6562 0.8438 0.5000  6 Ba 3.37-3.48
Hg4 0.8438 0.3438 0.5000  6 Ba 3.37-3.48

=====

B) # Ba2YHg2

An optimized crystal structure of Ba2YHg2 (GGA-PBE, Alexandria).

Cell: 9.0969 9.0969 4.5152 Å, 90.00 90.00 90.00°
Last column: nearest neighbours and their distance in Å.
Sites, in units of the cell vectors:
Ba1 0.1604 0.3396 0.0000  6 Hg 3.40-3.56
Ba2 0.3396 0.8396 0.0000  6 Hg 3.40-3.56
Ba3 0.6604 0.1604 0.0000  6 Hg 3.40-3.56
Ba4 0.8396 0.6604 0.0000  6 Hg 3.40-3.56
Y1 0.0000 0.0000 0.5000  4 Hg 3.50
Y2 0.5000 0.5000 0.5000  4 Hg 3.50
Hg1 0.1418 0.6418 0.5000  6 Ba 3.40-3.56, 2 Y 3.50, 1 Hg 3.65
Hg2 0.3582 0.1418 0.5000  6 Ba 3.40-3.56, 2 Y 3.50, 1 Hg 3.65
Hg3 0.6418 0.8582 0.5000  6 Ba 3.40-3.56, 2 Y 3.50, 1 Hg 3.65
Hg4 0.8582 0.3582 0.5000  6 Ba 3.40-3.56, 2 Y 3.50, 1 Hg 3.65

=====

Energies, relative to the best one, in meV/atom: A) 134; B) 0.